Record 1
## CoH2O (GGA-PBEsol)

Data for a relaxed CoH2O crystal.

- space group = No. 225
- VASP energy (eV/atom) = -4.38

a b c (Å): 3.1560 3.1560 3.1560
angles (deg): 60.00 60.00 60.00
Last column: magnetic moment on the atom in μB.
Fractional coordinates of all 4 atoms:
H: 0.2500 0.2500 0.2500  -0.01
H: 0.7500 0.7500 0.7500  -0.01
O: 0.0000 0.0000 0.0000  0.00
Co: 0.5000 0.5000 0.5000  0.27

***

Record 2
## Na2InPb2 (GGA-PBEsol)

Data for a relaxed Na2InPb2 crystal.

- space group = No. 127
- calculated formation energy (meV per atom) = -34

a b c (Å): 3.4704 8.8847 8.8847
angles (deg): 90.00 90.00 90.00
Fractional coordinates of all 10 atoms:
In: 0.0000 0.5000 0.5000
In: 0.0000 0.0000 0.0000
Pb: 0.0000 0.6227 0.1227
Pb: 0.0000 0.1227 0.3773
Pb: 0.0000 0.8773 0.6227
Pb: 0.0000 0.3773 0.8773
Na: 0.5000 0.1773 0.6773
Na: 0.5000 0.3227 0.1773
Na: 0.5000 0.8227 0.3227
Na: 0.5000 0.6773 0.8227